Entry 1:
Compound: Cd12Ga5Hg3
Source: the Alexandria database
Functional: PBE
Structure: relaxed

Results
The density of states at the Fermi level comes out at 37.665 states/eV per cell.

Cell and atoms, written as POSCAR:
```
Cd12Ga5Hg3
1.0
-8.2237 8.2237 8.2237
8.2237 -8.2237 8.2237
8.2237 8.2237 -8.2237
Cd Ga Hg
48 20 12
Direct
0.0562 0.2253 0.1311
0.0562 0.3309 0.9251
0.0749 0.6311 0.4058
0.0749 0.9438 0.6691
0.0942 0.7253 0.6691
0.0942 0.8689 0.4251
0.1311 0.0562 0.2253
0.1311 0.5749 0.9058
0.1691 0.2253 0.5942
0.1691 0.4438 0.5749
0.2253 0.1311 0.0562
0.2253 0.5942 0.1691
0.2747 0.3309 0.9058
0.2747 0.4438 0.3689
0.3309 0.9058 0.2747
0.3309 0.9251 0.0562
0.3689 0.2747 0.4438
0.3689 0.5942 0.9251
0.4058 0.0749 0.6311
0.4058 0.8309 0.7747
0.4251 0.0942 0.8689
0.4251 0.8309 0.5562
0.4438 0.3689 0.2747
0.4438 0.5749 0.1691
0.5562 0.4251 0.8309
0.5562 0.6311 0.7253
0.5749 0.1691 0.4438
0.5749 0.9058 0.1311
0.5942 0.1691 0.2253
0.5942 0.9251 0.3689
0.6311 0.4058 0.0749
0.6311 0.7253 0.5562
0.6691 0.0749 0.9438
0.6691 0.0942 0.7253
0.7253 0.5562 0.6311
0.7253 0.6691 0.0942
0.7747 0.4058 0.8309
0.7747 0.8689 0.9438
0.8309 0.5562 0.4251
0.8309 0.7747 0.4058
0.8689 0.4251 0.0942
0.8689 0.9438 0.7747
0.9058 0.1311 0.5749
0.9058 0.2747 0.3309
0.9251 0.0562 0.3309
0.9251 0.3689 0.5942
0.9438 0.6691 0.0749
0.9438 0.7747 0.8689
0.0000 0.0000 0.0000
0.0000 0.0000 0.5000
0.0000 0.5000 0.0000
0.0000 0.5000 0.5000
0.1250 0.7500 0.8750
0.1250 0.8750 0.2500
0.2500 0.1250 0.8750
0.2500 0.6250 0.3750
0.3750 0.2500 0.6250
0.3750 0.6250 0.7500
0.5000 0.0000 0.0000
0.5000 0.0000 0.5000
0.5000 0.5000 0.0000
0.5000 0.5000 0.5000
0.6250 0.3750 0.2500
0.6250 0.7500 0.3750
0.7500 0.3750 0.6250
0.7500 0.8750 0.1250
0.8750 0.1250 0.7500
0.8750 0.2500 0.1250
0.1250 0.2500 0.3750
0.1250 0.3750 0.7500
0.2500 0.3750 0.1250
0.2500 0.8750 0.6250
0.3750 0.1250 0.2500
0.3750 0.7500 0.1250
0.6250 0.2500 0.8750
0.6250 0.8750 0.7500
0.7500 0.1250 0.3750
0.7500 0.6250 0.8750
0.8750 0.6250 0.2500
0.8750 0.7500 0.6250
```

Entry 2:
Compound: Na4Pr3BiS8
Source: the Alexandria database
Functional: PBE
Structure: relaxed

Results
For the formation energy (no corrections), the calculation gives -1.523 eV/atom. The density of states at the Fermi level comes out at 0.000 states/eV per cell.

Cell and atoms, written as POSCAR:
```
Na4Pr3BiS8
1.0
4.1433 2.3921 6.7275
-4.1433 2.3921 6.7275
0.0000 -4.7842 6.7275
Na Pr Bi S
4 3 1 8
Direct
0.0000 0.0000 0.0000
0.0000 0.5000 0.5000
0.5000 0.0000 0.5000
0.5000 0.5000 0.0000
0.0000 0.0000 0.5000
0.0000 0.5000 0.0000
0.5000 0.0000 0.0000
0.5000 0.5000 0.5000
0.2446 0.2446 0.2446
0.2480 0.7437 0.7437
0.2563 0.2563 0.7520
0.2563 0.7520 0.2563
0.7437 0.2480 0.7437
0.7437 0.7437 0.2480
0.7520 0.2563 0.2563
0.7554 0.7554 0.7554
```

Entry 3:
Compound: K6OsN4
Source: the Alexandria database
Functional: PBE
Structure: relaxed

Results
For the formation energy (no corrections), the calculation gives 0.135 eV/atom. The density of states at the Fermi level comes out at 7.862 states/eV per cell.

Cell and atoms, written as POSCAR:
```
K6OsN4
1.0
8.7564 0.0000 0.0000
0.0000 8.7564 0.0000
0.0000 0.0000 7.7169
K Os N
12 2 8
Direct
0.0251 0.5251 0.2500
0.0251 0.9749 0.2500
0.2500 0.2500 0.0205
0.2500 0.2500 0.5205
0.4749 0.5251 0.2500
0.4749 0.9749 0.2500
0.5251 0.0251 0.7500
0.5251 0.4749 0.7500
0.7500 0.7500 0.4795
0.7500 0.7500 0.9795
0.9749 0.0251 0.7500
0.9749 0.4749 0.7500
0.2500 0.7500 0.7500
0.7500 0.2500 0.2500
0.0768 0.7500 0.8823
0.2500 0.5768 0.6177
0.2500 0.9232 0.6177
0.4232 0.7500 0.8823
0.5768 0.2500 0.1177
0.7500 0.0768 0.3823
0.7500 0.4232 0.3823
0.9232 0.2500 0.1177
```

Entry 4:
Compound: Na2LaPrTe4
Source: the Alexandria database
Functional: PBE
Structure: relaxed

Results
For the formation energy (no corrections), the calculation gives -1.368 eV/atom.

Cell and atoms, written as POSCAR:
```
Na2LaPrTe4
1.0
7.9924 0.0000 0.0000
0.0000 4.6155 0.0000
-2.6643 0.0000 7.5373
Na La Pr Te
2 1 1 4
Direct
0.0000 0.0000 0.0000
0.5000 0.5000 0.0000
0.0000 0.5000 0.5000
0.5000 0.0000 0.5000
0.2490 0.0000 0.7414
0.2548 0.5000 0.2592
0.7452 0.5000 0.7408
0.7510 0.0000 0.2586
```

Entry 5:
Compound: Rb4NaHg12Pt3
Source: the Alexandria database
Functional: PBE
Structure: relaxed

Results
The density of states at the Fermi level comes out at 5.763 states/eV per cell.

Cell and atoms, written as POSCAR:
```
Rb4NaHg12Pt3
1.0
-5.5171 5.5171 5.5171
5.5171 -5.5171 5.5171
5.5171 5.5171 -5.5171
Rb Na Hg Pt
4 1 12 3
Direct
0.0000 0.0000 0.5000
0.0000 0.5000 0.0000
0.5000 0.0000 0.0000
0.5000 0.5000 0.5000
0.0000 0.0000 0.0000
0.0000 0.2573 0.2573
0.0000 0.7427 0.7427
0.2500 0.5000 0.7500
0.2500 0.7500 0.5000
0.2573 0.0000 0.2573
0.2573 0.2573 0.0000
0.5000 0.2500 0.7500
0.5000 0.7500 0.2500
0.7427 0.0000 0.7427
0.7427 0.7427 0.0000
0.7500 0.2500 0.5000
0.7500 0.5000 0.2500
0.0000 0.5000 0.5000
0.5000 0.0000 0.5000
0.5000 0.5000 0.0000
```

Entry 6:
Compound: NbBiPb
Source: the Alexandria database
Functional: PBE
Structure: relaxed

Results
The density of states at the Fermi level comes out at 6.215 states/eV per cell.

Cell and atoms, written as POSCAR:
```
NbBiPb
1.0
0.0000 5.1131 9.8019
2.9766 0.0000 9.8019
2.9766 5.1131 0.0000
Nb Bi Pb
4 4 4
Direct
0.0018 0.0018 0.7482
0.2518 0.2518 0.9982
0.7482 0.7482 0.0018
0.9982 0.9982 0.2518
0.0417 0.7083 0.0417
0.2917 0.9583 0.2917
0.7083 0.0417 0.7083
0.9583 0.2917 0.9583
0.2953 0.2953 0.4547
0.4547 0.4547 0.2953
0.5453 0.5453 0.7047
0.7047 0.7047 0.5453
```

Entry 7:
Compound: As2IBrF
Source: the Alexandria database
Functional: PBE
Structure: relaxed

Results
For the formation energy (no corrections), the calculation gives 0.833 eV/atom. The density of states at the Fermi level comes out at 7.618 states/eV per cell. For the relative energy among the computed polymorphs, the calculation gives 474.6 meV per atom.

Cell and atoms, written as POSCAR:
```
As2IBrF
1.0
5.6069 0.0000 0.0000
0.0000 5.6069 0.0000
0.0000 0.0000 5.6289
As I Br F
2 1 1 1
Direct
0.0000 0.5000 0.0000
0.5000 0.0000 0.0000
0.0000 0.0000 0.0000
0.0000 0.0000 0.5000
0.5000 0.5000 0.5000
```

Entry 8:
Compound: Mn2Cu2S5
Source: the Alexandria database
Functional: PBE
Structure: relaxed

Results
For the formation energy (no corrections), the calculation gives -0.333 eV/atom. The density of states at the Fermi level comes out at 5.297 states/eV per cell.

Cell and atoms, written as POSCAR:
```
Mn2Cu2S5
1.0
1.8554 1.0712 13.3193
-1.8554 1.0712 13.3193
0.0000 -2.1424 13.3193
Mn Cu S
2 2 5
Direct
0.0000 0.0000 0.0000
0.1647 0.1647 0.1647
0.5847 0.5847 0.5847
0.7448 0.7448 0.7448
0.0569 0.0569 0.0569
0.5283 0.5283 0.5283
0.6612 0.6612 0.6612
0.8009 0.8009 0.8009
0.9378 0.9378 0.9378
```

Entry 9:
Compound: CuIBr
Source: the Alexandria database
Functional: PBE
Structure: relaxed

Results
For the formation energy (no corrections), the calculation gives -0.185 eV/atom. The density of states at the Fermi level comes out at 19.743 states/eV per cell. For the relative energy among the computed polymorphs, the calculation gives 0.0 meV per atom.

Cell and atoms, written as POSCAR:
```
CuIBr
1.0
7.7233 0.0000 0.0000
0.0000 6.3601 0.0000
-1.6417 0.0000 7.8243
Cu I Br
4 4 4
Direct
0.1480 0.1120 0.1664
0.1480 0.3880 0.6664
0.8520 0.6120 0.3336
0.8520 0.8880 0.8336
0.4824 0.1201 0.2455
0.4824 0.3799 0.7455
0.5176 0.6201 0.2545
0.5176 0.8799 0.7545
0.0040 0.7396 0.6183
0.0040 0.7604 0.1183
0.9960 0.2396 0.8817
0.9960 0.2604 0.3817
```

Entry 10:
Compound: Zn6Fe
Source: the Alexandria database
Functional: PBE
Structure: relaxed

Results
The density of states at the Fermi level comes out at 4.309 states/eV per cell. For the relative energy among the computed polymorphs, the calculation gives 0.0 meV per atom.

Cell and atoms, written as POSCAR:
```
Zn6Fe
1.0
2.1194 1.2236 6.3482
-2.1194 1.2236 6.3482
0.0000 -2.4472 6.3482
Zn Fe
6 1
Direct
0.0767 0.0767 0.0767
0.2147 0.2147 0.2147
0.3652 0.3652 0.3652
0.6348 0.6348 0.6348
0.7853 0.7853 0.7853
0.9233 0.9233 0.9233
0.5000 0.5000 0.5000
```

Entry 11:
Compound: CeScCu4
Source: the Alexandria database
Functional: PBE
Structure: relaxed

Results
The density of states at the Fermi level comes out at 7.990 states/eV per cell. For the relative energy among the computed polymorphs, the calculation gives 0.0 meV per atom.

Cell and atoms, written as POSCAR:
```
CeScCu4
1.0
4.3101 0.0000 0.0000
-2.1551 3.7327 0.0000
0.0000 0.0000 6.5188
Ce Sc Cu
1 1 4
Direct
0.0000 0.0000 0.0000
0.0000 0.0000 0.5000
0.3333 0.6667 0.2894
0.3333 0.6667 0.7106
0.6667 0.3333 0.2894
0.6667 0.3333 0.7106
```

Short version: calculated volume = 27.808; 25.003; 26.895; 34.755; 33.587; 24.864; 35.391; 17.648; 32.028; 14.111; 17.476 A^3/atom, in the order given.
Short version: energy = -1.16; -5.06; -4.51; -4.48; -1.56; -5.76; -2.05; -5.57; -2.63; -2.21; -5.00 eV per atom, in the order given.